Entry from Alexandria via LeMat-Bulk: Zn2GaTeO6 after structural relaxation (PBE-GGA).

Final energy (Ha/atom): -0.1881
N(E_F) (states/eV/f.u.): 3.389
Total magnetization (Bohr magnetons per cell): 0.000

Lattice parameters (Å, degrees): 5.588 5.588 5.588 56.42 56.42 56.42
Fractional coordinates of all 10 atoms:
Zn1 0.000 0.000 0.000
Zn2 0.499 0.499 0.499
Ga1 0.780 0.780 0.780
Te1 0.283 0.283 0.283
O1 0.064 0.674 0.402
O2 0.168 0.570 0.896
O3 0.402 0.064 0.674
O4 0.570 0.896 0.168
O5 0.674 0.402 0.064
O6 0.896 0.168 0.570

---

Entry from Alexandria via LeMat-Bulk: MnZnCo2 after structural relaxation (PBE-GGA).

N(E_F) (states/eV/f.u.): 4.760
Total magnetization (Bohr magnetons per cell): 6.089
Energy relative to the elements (meV per atom): 522

Lattice parameters (Å, degrees): 5.151 5.151 5.151 103.65 103.65 121.88
Fractional coordinates of all 8 atoms:
Mn1 0.000 0.000 0.000
Mn2 0.750 0.250 0.500
Zn1 0.250 0.750 0.500
Zn2 0.500 0.500 0.000
Co1 0.098 0.625 0.973
Co2 0.375 0.348 0.473
Co3 0.652 0.125 0.027
Co4 0.875 0.902 0.527